The following is a DFT calculation (PBE) of a geometry-optimized K2NpBr6 structure.

a b c (Å): 7.362 7.362 14.216
angles (deg): 90.00 90.00 90.00
Sites, in units of the cell vectors:
Br: 0.733 0.733 0.000
Br: 0.233 0.767 0.500
Np: 0.500 0.500 0.500
Br: 0.816 0.184 0.142
Br: 0.316 0.316 0.642
K: 0.000 0.000 0.666
Br: 0.684 0.684 0.642
Br: 0.684 0.684 0.358
Br: 0.316 0.316 0.358
Br: 0.184 0.816 0.142
Np: 0.000 0.000 0.000
Br: 0.767 0.233 0.500
Br: 0.184 0.816 0.858
K: 0.500 0.500 0.166
K: 0.500 0.500 0.834
K: 0.000 0.000 0.334
Br: 0.816 0.184 0.858
Br: 0.267 0.267 0.000

Computed properties:
**Density of states at the Fermi level**: 0.603 states/eV per atom
**Total DFT energy (no corrections)**: -77.2 eV for the cell shown
**ρ**: 3.4 Mg/m³
**Raw formation energy**: -1491 meV/atom

The following is a DFT calculation (PBE) of a geometry-optimized K2NpBr8 structure.

a b c (Å): 5.173 6.941 11.406
angles (deg): 106.93 103.11 90.00
Sites, in units of the cell vectors:
Br: 0.427 0.607 0.853
Br: 0.222 0.240 0.444
Br: 0.619 0.961 0.239
Br: 0.381 0.039 0.761
Br: 0.573 0.393 0.147
Br: 0.778 0.760 0.556
K: 0.815 0.313 0.630
K: 0.185 0.687 0.370
Br: 0.024 0.803 0.048
Br: 0.976 0.197 0.952
Np: 0.500 0.000 0.000

Computed properties:
**Density of states at the Fermi level**: 1.309 states/eV per atom
**Total DFT energy (no corrections)**: -40.2 eV for the cell shown
**ρ**: 4.2 Mg/m³
**Raw formation energy**: -1059 meV/atom
**Polymorph energy (0 for the lowest one)**: 124 meV per atom

The following is a DFT calculation (PBE) of a geometry-optimized K3NpBr7 structure.

a b c (Å): 7.800 7.800 8.616
angles (deg): 63.96 63.96 84.37
Sites, in units of the cell vectors:
Br: 0.317 0.972 0.736
Br: 0.131 0.634 0.217
Br: 0.634 0.131 0.217
Br: 0.810 0.810 0.868
Br: 0.972 0.317 0.736
K: 0.227 0.780 0.487
Np: 0.957 0.957 0.038
Br: 0.147 0.147 0.143
K: 0.780 0.227 0.487
K: 0.511 0.511 0.904
Br: 0.639 0.639 0.416

Computed properties:
**Density of states at the Fermi level**: 0.206 states/eV per atom
**Total DFT energy (no corrections)**: -44.3 eV for the cell shown
**ρ**: 3.6 Mg/m³
**Raw formation energy**: -1490 meV/atom

The following is a DFT calculation (PBE) of a geometry-optimized K2NpBr3O3 structure.

a b c (Å): 3.220 9.064 9.064
angles (deg): 120.00 90.00 90.00
Sites, in units of the cell vectors:
Br: 0.000 0.613 0.613
O: 0.500 0.845 0.000
Br: 0.000 0.000 0.387
O: 0.500 0.155 0.155
K: 0.500 0.333 0.667
Np: 0.000 0.000 0.000
Br: 0.000 0.387 0.000
O: 0.500 0.000 0.845
K: 0.500 0.667 0.333

Computed properties:
**Density of states at the Fermi level**: 0.823 states/eV per atom
**Total DFT energy (no corrections)**: -49.8 eV for the cell shown
**ρ**: 4.4 Mg/m³
**Raw formation energy**: -1643 meV/atom

The following is a DFT calculation (PBE) of a geometry-optimized K2NpBr2O2 structure.

a b c (Å): 4.398 4.398 9.406
angles (deg): 103.52 103.52 90.00
Sites, in units of the cell vectors:
Np: 0.000 0.000 0.000
Br: 0.168 0.168 0.336
K: 0.624 0.624 0.248
O: 0.500 0.000 0.000
O: 0.000 0.500 0.000
Br: 0.832 0.832 0.664
K: 0.376 0.376 0.752

Computed properties:
**Density of states at the Fermi level**: 1.295 states/eV per atom
**Total DFT energy (no corrections)**: -43.2 eV for the cell shown
**ρ**: 4.9 Mg/m³
**Raw formation energy**: -2117 meV/atom

The following is a DFT calculation (PBE) of a geometry-optimized KNpPb2Br8 structure.

a b c (Å): 7.240 6.990 9.248
angles (deg): 90.00 90.00 89.24
Sites, in units of the cell vectors:
Br: 0.325 0.244 0.000
Br: 0.153 0.755 0.778
Br: 0.366 0.267 0.500
Pb: 0.500 0.500 0.253
K: 0.000 0.000 0.500
Br: 0.634 0.733 0.500
Br: 0.847 0.245 0.778
Pb: 0.500 0.500 0.747
Br: 0.675 0.756 0.000
Br: 0.153 0.755 0.222
Np: 0.000 0.000 0.000
Br: 0.847 0.245 0.222

Computed properties:
**Density of states at the Fermi level**: 0.410 states/eV per atom
**Total DFT energy (no corrections)**: -49.0 eV for the cell shown
**ρ**: 4.7 Mg/m³
**Raw formation energy**: -1178 meV/atom

The following is a DFT calculation (PBE) of a geometry-optimized KNpPbBr6 structure.

a b c (Å): 7.739 7.739 14.168
angles (deg): 90.00 90.00 120.00
Sites, in units of the cell vectors:
Br: 0.015 0.646 0.867
Br: 0.646 0.630 0.133
Pb: 0.667 0.333 0.750
Br: 0.630 0.646 0.633
Br: 0.015 0.370 0.633
Br: 0.370 0.015 0.133
Br: 0.985 0.630 0.367
Br: 0.630 0.985 0.867
Br: 0.354 0.985 0.633
K: 0.000 0.000 0.500
Np: 0.667 0.333 0.250
K: 0.000 0.000 0.000
Np: 0.333 0.667 0.750
Br: 0.646 0.015 0.367
Pb: 0.333 0.667 0.250
Br: 0.354 0.370 0.867
Br: 0.985 0.354 0.133
Br: 0.370 0.354 0.367

Computed properties:
**Density of states at the Fermi level**: 1.086 states/eV per atom
**Total DFT energy (no corrections)**: -78.9 eV for the cell shown
**ρ**: 4.4 Mg/m³
**Raw formation energy**: -1295 meV/atom

The following is a DFT calculation (PBE) of a geometry-optimized K2NpPbBr8 structure.

a b c (Å): 7.582 7.099 9.165
angles (deg): 89.99 90.00 92.80
Sites, in units of the cell vectors:
Br: 0.325 0.240 0.500
Pb: 0.000 0.000 0.500
Br: 0.130 0.776 0.223
Br: 0.687 0.786 0.000
Br: 0.870 0.224 0.777
Np: 0.000 0.000 0.000
K: 0.500 0.500 0.253
Br: 0.130 0.776 0.777
Br: 0.870 0.224 0.223
K: 0.500 0.500 0.747
Br: 0.313 0.214 0.000
Br: 0.675 0.760 0.500

Computed properties:
**Density of states at the Fermi level**: 0.360 states/eV per atom
**Total DFT energy (no corrections)**: -48.0 eV for the cell shown
**ρ**: 3.9 Mg/m³
**Raw formation energy**: -1314 meV/atom

The following is a DFT calculation (PBE) of a geometry-optimized KPuNpBr6 structure.

a b c (Å): 7.570 7.570 14.494
angles (deg): 90.00 90.00 120.00
Sites, in units of the cell vectors:
K: 0.000 0.000 0.500
Br: 0.637 0.003 0.366
Br: 0.997 0.634 0.366
Br: 0.997 0.363 0.134
Br: 0.366 0.363 0.366
Br: 0.634 0.997 0.866
Br: 0.003 0.366 0.634
Br: 0.003 0.637 0.866
Br: 0.363 0.997 0.634
Br: 0.637 0.634 0.134
Br: 0.363 0.366 0.866
K: 0.000 0.000 0.000
Np: 0.333 0.667 0.750
Br: 0.366 0.003 0.134
Pu: 0.667 0.333 0.750
Br: 0.634 0.637 0.634
Np: 0.667 0.333 0.250
Pu: 0.333 0.667 0.250

Computed properties:
**Density of states at the Fermi level**: 2.649 states/eV per atom
**Total DFT energy (no corrections)**: -103.6 eV for the cell shown
**ρ**: 4.6 Mg/m³
**Raw formation energy**: -1491 meV/atom

The following is a DFT calculation (PBE) of a geometry-optimized KRb2NpBr8 structure.

a b c (Å): 6.710 8.061 10.406
angles (deg): 90.02 89.99 109.23
Sites, in units of the cell vectors:
Br: 0.938 0.213 0.189
Br: 0.493 0.233 0.500
K: 0.000 0.000 0.500
Br: 0.062 0.787 0.811
Rb: 0.501 0.500 0.255
Br: 0.586 0.801 0.000
Br: 0.414 0.199 0.000
Br: 0.507 0.767 0.500
Rb: 0.499 0.500 0.745
Np: 0.000 0.000 0.000
Br: 0.063 0.787 0.188
Br: 0.937 0.213 0.812

Computed properties:
**Density of states at the Fermi level**: 1.047 states/eV per atom
**Total DFT energy (no corrections)**: -45.8 eV for the cell shown
**ρ**: 3.4 Mg/m³
**Raw formation energy**: -1374 meV/atom

The following is a DFT calculation (PBE) of a geometry-optimized K2RbNpBr8 structure.

a b c (Å): 6.707 7.858 10.274
angles (deg): 90.00 90.00 111.55
Sites, in units of the cell vectors:
Br: 0.574 0.790 0.000
Br: 0.052 0.778 0.190
Rb: 0.000 0.000 0.500
K: 0.500 0.500 0.743
Br: 0.948 0.222 0.190
Br: 0.052 0.778 0.810
Br: 0.466 0.744 0.500
Np: 0.000 0.000 0.000
Br: 0.948 0.222 0.810
Br: 0.534 0.256 0.500
Br: 0.426 0.210 0.000
K: 0.500 0.500 0.257

Computed properties:
**Density of states at the Fermi level**: 1.023 states/eV per atom
**Total DFT energy (no corrections)**: -46.0 eV for the cell shown
**ρ**: 3.4 Mg/m³
**Raw formation energy**: -1375 meV/atom

The following is a DFT calculation (PBE) of a geometry-optimized KNpSn2Br8 structure.

a b c (Å): 7.221 6.959 9.110
angles (deg): 90.05 90.10 88.96
Sites, in units of the cell vectors:
Sn: 0.500 0.500 0.746
Br: 0.158 0.753 0.225
Br: 0.633 0.726 0.501
Br: 0.323 0.245 0.001
Br: 0.841 0.246 0.225
Sn: 0.500 0.500 0.254
K: 0.000 0.000 0.500
Br: 0.367 0.274 0.499
Br: 0.842 0.247 0.775
Br: 0.677 0.755 0.999
Np: 0.000 0.000 0.000
Br: 0.159 0.754 0.775

Computed properties:
**Density of states at the Fermi level**: 0.415 states/eV per atom
**Total DFT energy (no corrections)**: -48.6 eV for the cell shown
**ρ**: 4.2 Mg/m³
**Raw formation energy**: -1099 meV/atom

The following is a DFT calculation (PBE) of a geometry-optimized K2NpSnBr8 structure.

a b c (Å): 7.571 7.067 9.095
angles (deg): 89.98 90.01 92.96
Sites, in units of the cell vectors:
Np: 0.000 0.000 0.000
Br: 0.872 0.222 0.772
Br: 0.680 0.766 0.500
K: 0.500 0.500 0.746
Br: 0.128 0.778 0.772
K: 0.500 0.500 0.254
Sn: 0.000 0.000 0.500
Br: 0.320 0.234 0.500
Br: 0.685 0.784 0.000
Br: 0.315 0.216 0.000
Br: 0.872 0.222 0.228
Br: 0.128 0.778 0.228

Computed properties:
**Density of states at the Fermi level**: 0.261 states/eV per atom
**Total DFT energy (no corrections)**: -47.9 eV for the cell shown
**ρ**: 3.7 Mg/m³
**Raw formation energy**: -1278 meV/atom

The following is a DFT calculation (PBE) of a geometry-optimized KNpSnBr6 structure.

a b c (Å): 7.686 7.686 14.196
angles (deg): 90.00 90.00 120.00
Sites, in units of the cell vectors:
Br: 0.990 0.632 0.865
Sn: 0.333 0.667 0.750
Br: 0.632 0.642 0.135
Br: 0.010 0.368 0.135
K: 0.000 0.000 0.500
Np: 0.667 0.333 0.750
Br: 0.632 0.990 0.365
Br: 0.642 0.010 0.865
Br: 0.010 0.642 0.365
Br: 0.358 0.368 0.365
Br: 0.358 0.990 0.135
Br: 0.368 0.010 0.635
Br: 0.368 0.358 0.865
K: 0.000 0.000 0.000
Sn: 0.667 0.333 0.250
Np: 0.333 0.667 0.250
Br: 0.990 0.358 0.635
Br: 0.642 0.632 0.635

Computed properties:
**Density of states at the Fermi level**: 1.080 states/eV per atom
**Total DFT energy (no corrections)**: -78.6 eV for the cell shown
**ρ**: 4.0 Mg/m³
**Raw formation energy**: -1246 meV/atom

The following is a DFT calculation (PBE) of a geometry-optimized KSrNpBr6 structure.

a b c (Å): 7.790 7.790 14.109
angles (deg): 90.00 90.00 120.00
Sites, in units of the cell vectors:
Br: 0.016 0.370 0.633
Np: 0.333 0.667 0.750
Br: 0.646 0.016 0.367
Br: 0.016 0.646 0.867
Br: 0.354 0.370 0.867
Np: 0.667 0.333 0.250
K: 0.000 0.000 0.500
Sr: 0.333 0.667 0.250
Br: 0.646 0.630 0.133
K: 0.000 0.000 0.000
Br: 0.984 0.354 0.133
Br: 0.354 0.984 0.633
Sr: 0.667 0.333 0.750
Br: 0.984 0.630 0.367
Br: 0.630 0.984 0.867
Br: 0.630 0.646 0.633
Br: 0.370 0.354 0.367
Br: 0.370 0.016 0.133

Computed properties:
**Density of states at the Fermi level**: 1.033 states/eV per atom
**Total DFT energy (no corrections)**: -82.0 eV for the cell shown
**ρ**: 3.8 Mg/m³
**Raw formation energy**: -1692 meV/atom

The following is a DFT calculation (PBE) of a geometry-optimized K2NpTlBr6 structure.

a b c (Å): 7.892 8.553 11.508
angles (deg): 90.00 89.50 90.00
Sites, in units of the cell vectors:
Tl: 0.500 0.000 0.000
K: 0.534 0.586 0.750
Br: 0.859 0.559 0.230
Br: 0.837 0.787 0.926
Br: 0.793 0.822 0.569
K: 0.966 0.086 0.750
Np: 0.500 0.000 0.500
Br: 0.207 0.178 0.431
Br: 0.359 0.941 0.730
Np: 0.000 0.500 0.000
Br: 0.337 0.713 0.426
Br: 0.641 0.059 0.270
Br: 0.707 0.322 0.931
K: 0.034 0.914 0.250
Br: 0.663 0.287 0.574
K: 0.466 0.414 0.250
Br: 0.293 0.678 0.069
Br: 0.141 0.441 0.770
Br: 0.163 0.213 0.074
Tl: 0.000 0.500 0.500

Computed properties:
**Density of states at the Fermi level**: 0.497 states/eV per atom
**Total DFT energy (no corrections)**: -83.5 eV for the cell shown
**ρ**: 4.3 Mg/m³
**Raw formation energy**: -1421 meV/atom

The following is a DFT calculation (PBE) of a geometry-optimized KNpVBr6 structure.

a b c (Å): 7.067 7.067 15.026
angles (deg): 90.00 90.00 120.00
Sites, in units of the cell vectors:
Br: 0.027 0.652 0.857
Br: 0.626 0.652 0.643
V: 0.333 0.667 0.750
Np: 0.667 0.333 0.750
Br: 0.652 0.027 0.357
Br: 0.374 0.027 0.143
Br: 0.348 0.374 0.857
K: 0.000 0.000 0.500
Br: 0.973 0.626 0.357
V: 0.667 0.333 0.250
Br: 0.374 0.348 0.357
Br: 0.626 0.973 0.857
Br: 0.652 0.626 0.143
Np: 0.333 0.667 0.250
K: 0.000 0.000 0.000
Br: 0.348 0.973 0.643
Br: 0.027 0.374 0.643
Br: 0.973 0.348 0.143

Computed properties:
**Density of states at the Fermi level**: 0.624 states/eV per atom
**Total DFT energy (no corrections)**: -88.8 eV for the cell shown
**ρ**: 4.1 Mg/m³
**Raw formation energy**: -1248 meV/atom

The following is a DFT calculation (PBE) of a geometry-optimized KBr3O6 structure.

a b c (Å): 4.301 7.630 7.630
angles (deg): 116.55 100.83 100.83
Sites, in units of the cell vectors:
Br: 0.360 0.523 0.523
K: 0.278 0.000 0.000
Br: 0.837 0.477 0.000
O: 0.605 0.743 0.743
O: 0.208 0.000 0.603
O: 0.862 0.257 0.000
O: 0.862 0.000 0.257
O: 0.208 0.603 0.000
Br: 0.837 0.000 0.477
O: 0.605 0.397 0.397

Computed properties:
**Density of states at the Fermi level**: 0.538 states/eV per atom
**Total DFT energy (no corrections)**: -36.7 eV for the cell shown
**ρ**: 3.0 Mg/m³
**Raw formation energy**: -87 meV/atom

The following is a DFT calculation (PBE) of a geometry-optimized K5BrO structure.

a b c (Å): 8.151 8.151 11.072
angles (deg): 93.42 114.46 110.88
Sites, in units of the cell vectors:
K: 0.687 0.937 0.750
Br: 0.314 0.564 0.750
K: 0.227 0.297 0.969
K: 0.773 0.703 0.031
K: 0.417 0.240 0.615
O: 0.500 0.000 0.500
K: 0.313 0.063 0.250
O: 0.000 0.000 0.000
K: 0.583 0.760 0.385
K: 0.828 0.259 0.531
K: 0.125 0.802 0.885
Br: 0.686 0.436 0.250
K: 0.875 0.198 0.115
K: 0.172 0.741 0.469

Computed properties:
**Density of states at the Fermi level**: 0.310 states/eV per atom
**Total DFT energy (no corrections)**: -36.9 eV for the cell shown
**ρ**: 1.6 Mg/m³
**Raw formation energy**: -907 meV/atom